Ba2Sr6Pd | PBE-GGA | optimized geometry

Properties
Density of states at the Fermi level   6.732 states/eV/f.u.
Space group   No. 139
E   -2.303 eV per atom

Geometry as POSCAR:
```
Ba2Sr6Pd
1.0
8.719 0.000 -0.231
0.000 8.725 0.000
0.324 0.000 12.294
Ba Sr Pd
4 12 2
Direct
0.000 0.500 0.750 Ba
0.500 0.000 0.750 Ba
0.000 0.500 0.250 Ba
0.500 0.000 0.250 Ba
0.745 0.255 0.000 Sr
0.500 0.500 0.246 Sr
0.246 0.755 0.500 Sr
0.245 0.245 0.500 Sr
0.000 0.000 0.254 Sr
0.254 0.255 0.000 Sr
0.000 0.000 0.746 Sr
0.255 0.745 0.000 Sr
0.500 0.500 0.754 Sr
0.755 0.755 0.500 Sr
0.746 0.745 0.000 Sr
0.754 0.245 0.500 Sr
0.000 0.000 0.500 Pd
0.500 0.500 0.000 Pd
```